Li4FeP6H8O22: relaxed, PBE with a Hubbard U.

Cell lengths 7.050, 7.362, 9.044 Å; angles 92.24, 104.77, 90.21 degrees
Space group P-1 (No. 2)
Asymmetric unit:
Li (0.124, 0.121, 0.463) [2 per cell]
Li (0.221, 0.999, 0.775) [2 per cell]
Fe (0.000, 0.500, 0.000) [1 per cell]
P (0.224, 0.439, 0.721) [2 per cell]
P (0.311, 0.729, 0.529) [2 per cell]
P (0.465, 0.301, 0.158) [2 per cell]
H (0.101, 0.157, 0.171) [2 per cell]
H (0.107, 0.945, 0.179) [2 per cell]
H (0.263, 0.720, 0.204) [2 per cell]
H (0.274, 0.772, 0.034) [2 per cell]
O (0.059, 0.055, 0.225) [2 per cell]
O (0.073, 0.522, 0.793) [2 per cell]
O (0.177, 0.879, 0.559) [2 per cell]
O (0.181, 0.744, 0.097) [2 per cell]
O (0.216, 0.239, 0.683) [2 per cell]
O (0.219, 0.537, 0.563) [2 per cell]
O (0.250, 0.310, 0.082) [2 per cell]
O (0.364, 0.715, 0.381) [2 per cell]
O (0.408, 0.830, 0.903) [2 per cell]
O (0.442, 0.495, 0.826) [2 per cell]
O (0.484, 0.257, 0.337) [2 per cell]

Computed properties:
The calculation puts the mass density at 2.31 g/cm³. For the total energy, the calculation gives -6.287 eV per atom. As for the volume: 453.48 Å³/cell. For the density of states at the Fermi level, the calculation gives 0.000 states/eV/atom.